{"formula": "Sc2NiHg", "functional": "PBE", "state": "optimized geometry", "lattice": [[-1.647, 2.318, 5.074], [1.647, -2.318, 5.074], [1.647, 2.318, -5.074]], "species": ["Sc", "Sc", "Ni", "Hg"], "fractional_positions": [[0.000, 0.000, 0.000], [0.706, 0.206, 0.500], [0.503, 0.503, 0.000], [0.284, 0.784, 0.500]], "dft_energy_ev_per_atom": -4.977}

{"formula": "Ce5PuIr5", "functional": "PBE", "state": "optimized geometry", "lattice": [[6.353, -2.829, 0.000], [6.353, 2.829, 0.000], [-2.590, 0.000, 7.677]], "species": ["Ce", "Ce", "Ce", "Ce", "Ce", "Pu", "Ir", "Ir", "Ir", "Ir", "Ir"], "fractional_positions": [[0.000, 0.000, 0.000], [0.327, 0.327, 0.170], [0.329, 0.329, 0.657], [0.671, 0.671, 0.343], [0.673, 0.673, 0.830], [0.000, 0.000, 0.500], [0.158, 0.158, 0.326], [0.165, 0.165, 0.835], [0.500, 0.500, 0.500], [0.835, 0.835, 0.165], [0.842, 0.842, 0.674]], "dft_energy_ev_per_atom": -8.638}